This record from the Alexandria database describes a crystal of ZrGe2IF relaxed with PBEsol. The functional is SCAN.

The formation energy without anion corrections is -2.98 eV per formula unit. As for the final energy: -22.4273 eV per atom. Its space group is P4/mmm. Its calculated density is 5.261 g cm⁻³.

abc: 5.4171 5.4171 4.1129
angles: 90.00 90.00 90.00
Sites, in units of the cell vectors:
Zr1 0.0000 0.0000 0.0000
Ge1 0.0000 0.5000 0.0000
Ge2 0.5000 0.0000 0.0000
I1 0.5000 0.5000 0.5000
F1 0.0000 0.0000 0.5000